A geometry-optimized SrCrRh4 structure. Source: Alexandria, functional PBE.

Unit cell a=5.3064 b=5.3064 c=5.3064 alpha=60.00 beta=60.00 gamma=60.00
Last column: nearest neighbours and their distance in Å.
Positions (direct):
1 Rh 0.3744 0.3744 0.3744  6 Rh 2.64-2.67
2 Rh 0.3744 0.8769 0.3744  6 Rh 2.64-2.67
3 Rh 0.8769 0.3744 0.3744  6 Rh 2.64-2.67
4 Sr 0.7500 0.7500 0.7500  12 Rh 3.11, 4 Cr 3.25
5 Cr 0.0000 0.0000 0.0000  12 Rh 3.11, 4 Sr 3.25
6 Rh 0.3744 0.3744 0.8769  6 Rh 2.64-2.67

Output
formation energy from the elements = 0.64 eV/f.u.
N(E_F) = 9.25 states/eV/f.u.
space group = F-43m, No. 216
volume = 17.6 Å³ per atom